Record 1
Compound: Tm2Te3
Source: the Alexandria database
Functional: PBE
Structure: optimized geometry

Cell lengths 12.540, 12.540, 15.216 Å; angles 90.00, 90.00, 90.00 degrees
Fractional coordinates of all 5 atoms:
1 Tm 0.000 0.000 0.190
2 Tm 0.000 0.000 0.810
3 Te 0.000 0.000 0.000
4 Te 0.000 0.000 0.365
5 Te 0.000 0.000 0.635

## Properties
crystal system = tetragonal
formation energy (no corrections) = 479 meV/atom
volume = 478.56 Å³ per atom
SG = P4/mmm (123)


Record 2
Compound: AcNpN2
Source: the Alexandria database
Functional: PBE
Structure: optimized geometry

Cell lengths 6.805, 6.805, 6.805 Å; angles 29.81, 29.81, 29.81 degrees
Fractional coordinates of all 4 atoms:
1 Ac 0.000 0.000 0.000
2 Np 0.828 0.828 0.828
3 N 0.420 0.420 0.420
4 N 0.564 0.564 0.564

## Properties
crystal system = trigonal
formation energy (no corrections) = -793 meV/atom
volume = 17.25 Å³ per atom
SG = R3m (160)
relative energy among the computed polymorphs = 1.11 eV per formula unit